VASP calculation (GGA-PBE) on an optimized crystal structure of Ca2YZr.

a b c (Å): 3.5269 3.5269 10.6256
angles (deg): 90.00 90.00 90.00
Space group P4mm (No. 99)
Symmetry-distinct sites (fractional):
Ca (0.0000, 0.0000, 0.0000)
Ca (0.5000, 0.5000, 0.2880)
Y (0.0000, 0.0000, 0.5618)
Zr (0.5000, 0.5000, 0.7607)

Properties
Formation enthalpy at 0 K   0.1474 eV/atom
Energy above the most stable polymorph in this dataset   0.00 eV/f.u.
Total energy   -4.61 eV/atom

VASP calculation (GGA-PBE) on an optimized crystal structure of Ca2YZr.

a b c (Å): 4.9521 4.9521 5.3204
angles (deg): 90.00 90.00 90.00
Space group P4/mmm (No. 123)
Symmetry-distinct sites (fractional):
Ca (0.0000, 0.5000, 0.0000)
Y (0.0000, 0.0000, 0.5000)
Zr (0.5000, 0.5000, 0.5000)

Properties
Formation enthalpy at 0 K   0.3550 eV/atom
Energy above the most stable polymorph in this dataset   0.83 eV/f.u.
Total energy   -4.40 eV/atom